No. 1
DFT (PBEsol) results for crystalline BaPb2C2O6F2 at its relaxed geometry.

Lattice parameters (Å, degrees): 5.1534 5.1534 8.3023 71.92 71.92 60.00
Sites, in units of the cell vectors:
1 O 0.7214 0.2862 0.7061
2 O 0.2786 0.7138 0.2939
3 O 0.7138 0.7138 0.2939
4 O 0.2862 0.2862 0.7061
5 O 0.7138 0.2786 0.2939
6 O 0.2862 0.7214 0.7061
7 F 0.6893 0.6893 0.9321
8 F 0.3107 0.3107 0.0679
9 Ba 0.0000 0.0000 0.0000
10 C 0.4303 0.4303 0.7090
11 C 0.5697 0.5697 0.2910
12 Pb 0.7849 0.7849 0.6452
13 Pb 0.2151 0.2151 0.3548

Summary:
volume	178.3	Å³ per cell
space group	R-3m
DOS(E_F)	0.000	states/eV/f.u.
E_form (uncorrected)	-189.9	kJ/mol of atoms

=====

No. 2
DFT (PBEsol) results for crystalline BaSmC2O6F at its relaxed geometry.

Lattice parameters (Å, degrees): 4.9926 4.9926 12.8334 78.78 78.78 60.00
Sites, in units of the cell vectors:
1 O 0.5749 0.0227 0.3797
2 O 0.7545 0.3077 0.1832
3 O 0.0227 0.5749 0.3797
4 O 0.9773 0.9773 0.6203
5 O 0.0227 0.0227 0.3797
6 O 0.7545 0.7545 0.1832
7 O 0.9773 0.4251 0.6203
8 O 0.2455 0.2455 0.8168
9 O 0.3077 0.7545 0.1832
10 O 0.6923 0.2455 0.8168
11 O 0.2455 0.6923 0.8168
12 O 0.4251 0.9773 0.6203
13 C 0.6065 0.6065 0.1804
14 C 0.3935 0.3935 0.8196
15 C 0.8744 0.8744 0.3769
16 C 0.1256 0.1256 0.6231
17 Sm 0.7449 0.7449 0.7652
18 Sm 0.2551 0.2551 0.2348
19 Ba 0.0000 0.0000 0.0000
20 Ba 0.5000 0.5000 0.5000
21 F 0.3152 0.3152 0.0545
22 F 0.6848 0.6848 0.9455

Summary:
volume	269.9	Å³ per cell
space group	R-3m
DOS(E_F)	0.000	states/eV/f.u.
E_form (uncorrected)	-243.2	kJ/mol of atoms

=====

No. 3
DFT (PBEsol) results for crystalline BaFeC2 at its relaxed geometry.

Lattice parameters (Å, degrees): 4.3611 4.3611 4.3611 60.00 60.00 60.00
Site moments in Bohr magnetons follow the coordinates.
Sites, in units of the cell vectors:
1 Fe 0.0000 0.0000 0.0000  2.94
2 C 0.7500 0.7500 0.7500  -0.18
3 C 0.2500 0.2500 0.2500  -0.18
4 Ba 0.5000 0.5000 0.5000  -0.02

Summary:
volume	58.7	Å³ per cell
space group	Fm-3m
DOS(E_F)	3.707	states/eV/f.u.
raw total energy	-21.88	eV for the cell shown

=====

No. 4
DFT (PBEsol) results for crystalline Ba3FeC at its relaxed geometry.

Lattice parameters (Å, degrees): 5.3397 5.3397 5.3397 90.00 90.00 90.00
Site moments in Bohr magnetons follow the coordinates.
Sites, in units of the cell vectors:
1 Ba 0.0000 0.5000 0.0000  -0.02
2 Ba 0.0000 0.0000 0.5000  -0.02
3 Ba 0.5000 0.0000 0.0000  -0.02
4 C 0.5000 0.5000 0.5000  0.51
5 Fe 0.0000 0.0000 0.0000  0.20

Summary:
volume	152.3	Å³ per cell
space group	Pm-3m
DOS(E_F)	4.346	states/eV/f.u.
raw total energy	-18.10	eV for the cell shown

=====

No. 5
DFT (PBEsol) results for crystalline Ba2GeC at its relaxed geometry.

Lattice parameters (Å, degrees): 5.3519 5.3519 5.3519 60.00 60.00 60.00
Sites, in units of the cell vectors:
1 Ba 0.2500 0.2500 0.2500
2 Ba 0.7500 0.7500 0.7500
3 C 0.0000 0.0000 0.0000
4 Ge 0.5000 0.5000 0.5000

Summary:
volume	108.4	Å³ per cell
space group	Fm-3m
DOS(E_F)	3.591	states/eV/f.u.
raw total energy	-15.89	eV for the cell shown

=====

No. 6
DFT (PBEsol) results for crystalline BaGe2C2 at its relaxed geometry.

Lattice parameters (Å, degrees): 4.0010 4.0010 6.0682 109.25 109.25 90.00
Sites, in units of the cell vectors:
1 Ge 0.2500 0.7500 0.5000
2 Ge 0.7500 0.2500 0.5000
3 C 0.3193 0.3193 0.6387
4 C 0.6807 0.6807 0.3613
5 Ba 0.0000 0.0000 0.0000

Summary:
volume	85.9	Å³ per cell
space group	I4/mmm
DOS(E_F)	2.207	states/eV/f.u.
raw total energy	-27.53	eV for the cell shown

=====

No. 7
DFT (PBEsol) results for crystalline Ba3GeC at its relaxed geometry.

Lattice parameters (Å, degrees): 6.2563 6.2563 6.2563 90.00 90.00 90.00
Site moments in Bohr magnetons follow the coordinates.
Sites, in units of the cell vectors:
1 C 0.5000 0.5000 0.5000  0.87
2 Ba 0.5000 0.0000 0.0000  -0.01
3 Ba 0.0000 0.5000 0.0000  -0.01
4 Ba 0.0000 0.0000 0.5000  -0.01
5 Ge 0.0000 0.0000 0.0000  0.01

Summary:
volume	244.9	Å³ per cell
space group	Pm-3m
DOS(E_F)	4.839	states/eV/f.u.
raw total energy	-15.65	eV for the cell shown

=====

No. 8
DFT (PBEsol) results for crystalline BaZn2GeC at its relaxed geometry.

Lattice parameters (Å, degrees): 5.8795 6.2733 6.2733 90.00 90.00 90.00
Site moments in Bohr magnetons follow the coordinates.
Sites, in units of the cell vectors:
1 Ba 0.0000 0.0000 0.0000  -0.09
2 C 0.5000 0.5000 0.5000  1.00
3 Zn 0.0000 0.5000 0.0000  0.01
4 Zn 0.0000 0.0000 0.5000  0.01
5 Ge 0.5000 0.0000 0.0000  -0.38

Summary:
volume	231.4	Å³ per cell
space group	P4/mmm
DOS(E_F)	3.655	states/eV/f.u.
raw total energy	-7.79	eV for the cell shown

=====

No. 9
DFT (PBEsol) results for crystalline BaH8C6N6O8 at its relaxed geometry.

Lattice parameters (Å, degrees): 7.0562 9.2492 9.2245 85.15 82.14 75.93
Sites, in units of the cell vectors:
1 N 0.2195 0.5291 0.4733
2 N 0.3381 0.9208 0.3504
3 N 0.1325 0.1300 0.4528
4 N 0.2795 0.5201 0.2153
5 N 0.8675 0.8700 0.5472
6 N 0.1663 0.1087 0.1964
7 N 0.6619 0.0792 0.6496
8 N 0.8337 0.8913 0.8036
9 N 0.7205 0.4799 0.7847
10 N 0.5473 0.6664 0.6301
11 N 0.4527 0.3336 0.3699
12 N 0.7805 0.4709 0.5267
13 H 0.3436 0.3718 0.9766
14 H 0.2306 0.0068 0.7776
15 H 0.0632 0.1942 0.5452
16 H 0.9368 0.8058 0.4548
17 H 0.2731 0.9848 0.9480
18 H 0.2854 0.3910 0.8145
19 H 0.4401 0.8173 0.3608
20 H 0.1442 0.5906 0.5658
21 H 0.4475 0.7707 0.6191
22 H 0.6564 0.6282 0.0234
23 H 0.7146 0.6090 0.1855
24 H 0.7269 0.0152 0.0520
25 H 0.8558 0.4094 0.4342
26 H 0.5599 0.1827 0.6392
27 H 0.7694 0.9932 0.2224
28 H 0.5525 0.2293 0.3809
29 O 0.9491 0.2916 0.6782
30 O 0.6068 0.6536 0.3804
31 O 0.3932 0.3464 0.6196
32 O 0.6916 0.0538 0.4029
33 O 0.1700 0.0206 0.8803
34 O 0.7686 0.5895 0.0823
35 O 0.0509 0.7084 0.3218
36 O 0.0370 0.6901 0.6984
37 O 0.5126 0.3229 0.1217
38 O 0.3084 0.9462 0.5971
39 O 0.9630 0.3099 0.3016
40 O 0.4874 0.6771 0.8783
41 O 0.8300 0.9794 0.1197
42 O 0.3525 0.8888 0.1076
43 O 0.6475 0.1112 0.8924
44 O 0.2314 0.4105 0.9177
45 C 0.2863 0.9722 0.2119
46 C 0.8189 0.4116 0.6653
47 C 0.7137 0.0278 0.7881
48 C 0.2625 0.9968 0.4728
49 C 0.0853 0.1855 0.3146
50 C 0.1811 0.5884 0.3347
51 C 0.6433 0.6000 0.5057
52 C 0.7375 0.0032 0.5272
53 C 0.3567 0.4000 0.4943
54 C 0.4168 0.3923 0.2295
55 C 0.9147 0.8145 0.6854
56 C 0.5832 0.6077 0.7705
57 Ba 0.9038 0.2714 0.9982
58 Ba 0.0962 0.7286 0.0018

Summary:
volume	577.7	Å³ per cell
space group	P-1
DOS(E_F)	0.000	states/eV/f.u.
raw total energy	-414.43	eV for the cell shown

=====

Q: What is the DOS(E_F) in the fifth record?
A: 3.591 states/eV/f.u.

=====

Q: What is the volume in the sixth record?
A: 85.9 Å³ per cell

=====

Q: Which of these has the highest DOS(E_F)?
A: Ba3GeC